# FeTc2 (PBE, relaxed)
data_FeTc2
_cell_length_a 3.793
_cell_length_b 3.793
_cell_length_c 22.467
_cell_angle_alpha 90.00
_cell_angle_beta 90.00
_cell_angle_gamma 90.00
_space_group_name_H-M_alt 'I 41/a m d'
_space_group_IT_number 141
loop_
_space_group_symop_operation_xyz
'x,y,z'
'-x,-y,-z'
'-y+1/4,x+3/4,z+1/4'
'y+1/4,-x+3/4,-z+1/4'
'-x+1/2,-y,z+1/2'
'x+1/2,y,-z+1/2'
'y+1/4,-x+1/4,z+3/4'
'-y+1/4,x+1/4,-z+3/4'
'x,-y,-z'
'-x,y,z'
'-y+1/4,-x+1/4,-z+3/4'
'y+1/4,x+1/4,z+3/4'
'-x+1/2,y,-z+1/2'
'x+1/2,-y,z+1/2'
'y+1/4,x+3/4,-z+1/4'
'-y+1/4,-x+3/4,z+1/4'
'x+1/2,y+1/2,z+1/2'
'-x+1/2,-y+1/2,-z+1/2'
'-y+3/4,x+1/4,z+3/4'
'y+3/4,-x+1/4,-z+3/4'
'-x,-y+1/2,z'
'x,y+1/2,-z'
'y+3/4,-x+3/4,z+1/4'
'-y+3/4,x+3/4,-z+1/4'
'x+1/2,-y+1/2,-z+1/2'
'-x+1/2,y+1/2,z+1/2'
'-y+3/4,-x+3/4,-z+1/4'
'y+3/4,x+3/4,z+1/4'
'-x,y+1/2,-z'
'x,-y+1/2,z'
'y+3/4,x+1/4,-z+3/4'
'-y+3/4,-x+1/4,z+3/4'
loop_
_atom_site_label
_atom_site_type_symbol
_atom_site_fract_x
_atom_site_fract_y
_atom_site_fract_z
_atom_site_occupancy
Fe1 Fe 0.000 0.250 0.291 1
Tc1 Tc 0.000 0.250 0.126 1
Tc2 Tc 0.000 0.250 0.790 1
# **ρ**: 10.4 g cm⁻³
# **Electronic total energy**: -9.652 eV per atom